Record 1
Here is a relaxed structure of Al2InPd9 from the Alexandria database. Energies are from PBE.

a = 3.9569 Å, b = 3.9569 Å, c = 11.8343 Å
α = 90.00°, β = 90.00°, γ = 90.00°
Fractional positions:
Pd  0.5000  0.0000  0.8225
Pd  0.5000  0.5000  0.3388
Pd  0.5000  0.5000  0.0000
Pd  0.5000  0.5000  0.6612
Pd  0.5000  0.0000  0.5000
Pd  0.0000  0.5000  0.1775
Al  0.0000  0.0000  0.6636
Al  0.0000  0.0000  0.3364
Pd  0.5000  0.0000  0.1775
Pd  0.0000  0.5000  0.8225
In  0.0000  0.0000  0.0000
Pd  0.0000  0.5000  0.5000

Calculated volume ... 15.441 Å³/atom
ΔH_f (0 K) ... -543 meV per atom
N(E_F) ... 1.056 states/eV per atom
ρ ... 10.1 g/cm3
Uncorrected energy ... -5.290 eV/atom

Record 2
Here is a relaxed structure of Al2InPd8 from the Alexandria database. Energies are from PBE.

a = 4.1094 Å, b = 6.3774 Å, c = 7.2269 Å
α = 108.84°, β = 106.52°, γ = 90.00°
Fractional positions:
Pd  0.8404  0.7682  0.6808
Pd  0.6054  0.4743  0.2107
Pd  0.3206  0.0680  0.6411
In  0.5000  0.0000  0.0000
Al  0.7846  0.3386  0.5692
Pd  0.9590  0.2709  0.9181
Al  0.2154  0.6614  0.4308
Pd  0.0410  0.7291  0.0819
Pd  0.3946  0.5257  0.7893
Pd  0.6794  0.9320  0.3589
Pd  0.1596  0.2318  0.3192

E above lowest polymorph ... 0 meV per atom
Calculated volume ... 15.543 Å³/atom
ΔH_f (0 K) ... -597 meV per atom
N(E_F) ... 0.332 states/eV per atom
ρ ... 9.9 g/cm3
Uncorrected energy ... -5.303 eV/atom

Record 3
Here is a relaxed structure of Al6InPd12 from the Alexandria database. Energies are from PBE.

a = 7.1278 Å, b = 7.1278 Å, c = 7.1278 Å
α = 100.81°, β = 100.81°, γ = 100.81°
Fractional positions:
Pd  0.0239  0.8647  0.3267
Al  0.5335  0.2746  0.1536
Pd  0.6733  0.9761  0.1353
Pd  0.5197  0.3920  0.8213
Pd  0.8647  0.3267  0.0239
Pd  0.8213  0.5197  0.3920
Pd  0.9761  0.1353  0.6733
Al  0.4665  0.7254  0.8464
Al  0.7254  0.8464  0.4665
Pd  0.3920  0.8213  0.5197
Al  0.1536  0.5335  0.2746
Pd  0.3267  0.0239  0.8647
Pd  0.1353  0.6733  0.9761
Pd  0.4803  0.6080  0.1787
In  0.0000  0.0000  0.0000
Pd  0.6080  0.1787  0.4803
Al  0.2746  0.1536  0.5335
Pd  0.1787  0.4803  0.6080
Al  0.8464  0.4665  0.7254

Calculated volume ... 17.892 Å³/atom
ΔH_f (0 K) ... -524 meV per atom
N(E_F) ... 0.141 states/eV per atom
ρ ... 7.6 g/cm3
Uncorrected energy ... -5.130 eV/atom